1.
The following is a PBE-GGA calculation of a geometry-optimized GaIrO2 structure, from Alexandria.

Summary:
- M_tot (Bohr magnetons per cell) = 0.000
- E_form (uncorrected) (eV per atom) = -0.536

The structure in POSCAR format:
```
GaIrO2
1.0
1.602 0.925 6.190
-1.602 0.925 6.190
0.000 -1.850 6.190
Ga Ir O
1 1 2
Cartesian
0.000 0.000 0.000 Ga
0.000 0.000 9.286 Ir
0.000 0.000 2.161 O
0.000 0.000 16.410 O
```

---

2.
The following is a PBE-GGA calculation of a geometry-optimized Ga2IrO6 structure, from Alexandria.

Summary:
- M_tot (Bohr magnetons per cell) = 1.070
- E_form (uncorrected) (eV per atom) = -1.198

The structure in POSCAR format:
```
Ga2IrO6
1.0
4.602 0.000 0.000
0.000 5.218 0.000
0.000 0.000 8.428
Ga Ir O
4 2 12
Cartesian
0.000 0.000 1.601 Ga
0.000 0.000 6.827 Ga
2.301 2.609 2.613 Ga
2.301 2.609 5.815 Ga
0.000 2.609 0.000 Ir
2.301 0.000 4.214 Ir
0.922 0.879 0.000 O
1.054 3.469 1.383 O
1.054 3.469 7.045 O
1.247 0.861 2.831 O
1.247 0.861 5.597 O
1.379 3.488 4.214 O
3.223 1.730 4.214 O
3.355 4.357 2.831 O
3.355 4.357 5.597 O
3.548 1.748 1.383 O
3.548 1.748 7.045 O
3.680 4.338 0.000 O
```

---

3.
The following is a PBE-GGA calculation of a geometry-optimized GaIr2O structure, from Alexandria.

Summary:
- M_tot (Bohr magnetons per cell) = 0.000
- polymorph energy (0 for the lowest one) (kJ per mole of atoms) = 22.1
- E_form (uncorrected) (eV per atom) = 0.412

The structure in POSCAR format:
```
GaIr2O
1.0
0.000 2.959 2.959
2.959 0.000 2.959
2.959 2.959 0.000
Ga Ir O
1 2 1
Cartesian
0.000 0.000 0.000 Ga
1.480 1.480 1.480 Ir
4.439 4.439 4.439 Ir
2.959 2.959 2.959 O
```